[1]
PBE-GGA RbMgHg2Pt, optimized geometry; formation energy = -29.8 kJ per mole of atoms; energy relative to the lowest polymorph listed for this composition = 0 meV per atom; VASP energy = -2.150 eV/atom; total moment = 0.00 μB/cell
1.0
5.425 0.000 0.000
0.000 5.425 0.000
0.000 0.000 5.096
Rb Mg Hg Pt
1 1 2 1
direct
0.000 0.000 0.000
0.500 0.500 0.000
0.000 0.500 0.500
0.500 0.000 0.500
0.500 0.500 0.500



[2]
PBE-GGA MgHg2SbPt, optimized geometry; uncorrected formation energy = 0.12 eV per atom; VASP energy = -2.357 eV/atom; total moment = 0.00 μB/cell
1.0
5.230 0.000 0.000
0.000 5.230 0.000
0.000 0.000 4.966
Mg Hg Sb Pt
1 2 1 1
direct
0.000 0.000 0.000
0.000 0.500 0.500
0.500 0.000 0.500
0.500 0.500 0.000
0.000 0.000 0.500



[3]
PBE-GGA Mg2SiHgPt, optimized geometry; uncorrected formation energy = -0.32 eV per atom; VASP energy = -3.309 eV/atom; total moment = 0.00 μB/cell
1.0
5.155 0.000 0.000
0.000 5.155 0.000
0.000 0.000 4.507
Mg Si Hg Pt
2 1 1 1
direct
0.000 0.500 0.000
0.500 0.000 0.000
0.000 0.000 0.500
0.500 0.500 0.500
0.000 0.000 0.000



[4]
PBE-GGA MgSn2HgPt, optimized geometry; formation energy = 60.8 kJ per mole of atoms; VASP energy = -2.559 eV/atom; total moment = 0.00 μB/cell
1.0
5.435 0.000 0.000
0.000 5.435 0.000
0.000 0.000 5.159
Mg Sn Hg Pt
1 2 1 1
direct
0.000 0.000 0.000
0.000 0.500 0.500
0.500 0.000 0.500
0.500 0.500 0.500
0.500 0.500 0.000



[5]
PBE-GGA ThMgHgPt, optimized geometry; formation energy = -59.8 kJ per mole of atoms; VASP energy = -4.459 eV/atom; total moment = 0.00 μB/cell
1.0
0.000 3.570 3.570
3.570 0.000 3.570
3.570 3.570 0.000
Th Mg Hg Pt
1 1 1 1
direct
0.000 0.000 0.000
0.500 0.500 0.500
0.250 0.250 0.250
0.750 0.750 0.750



[6]
PBE-GGA MgTl2HgPt, optimized geometry; formation energy = -13.8 kJ per mole of atoms; VASP energy = -2.677 eV/atom; total moment = 0.00 μB/cell
1.0
5.321 0.000 0.000
0.000 5.321 0.000
0.000 0.000 5.153
Mg Tl Hg Pt
1 2 1 1
direct
0.000 0.000 0.000
0.000 0.500 0.500
0.500 0.000 0.500
0.500 0.500 0.000
0.000 0.000 0.500



[7]
PBE-GGA Pu2MgHg8, optimized geometry; formation energy = -10.3 kJ per mole of atoms; VASP energy = -3.077 eV/atom; total moment = 12.62 μB/cell
1.0
4.778 0.000 0.000
0.000 4.778 0.000
0.000 0.000 12.454
Pu Mg Hg
2 1 8
direct
0.000 0.000 0.187
0.000 0.000 0.813
0.000 0.000 0.500
0.000 0.500 0.000
0.000 0.500 0.365
0.000 0.500 0.635
0.500 0.000 0.000
0.500 0.000 0.365
0.500 0.000 0.635
0.500 0.500 0.182
0.500 0.500 0.818



[8]
PBE-GGA PuMgHg4, optimized geometry; formation energy = 5.4 kJ per mole of atoms; energy relative to the lowest polymorph listed for this composition = 182 meV per atom; VASP energy = -2.799 eV/atom; total moment = 12.11 μB/cell
1.0
-3.671 3.671 6.412
3.671 -3.671 6.412
3.671 3.671 -6.412
Pu Mg Hg
2 2 8
direct
0.375 0.625 0.750
0.625 0.375 0.250
0.125 0.875 0.250
0.875 0.125 0.750
0.000 0.218 0.218
0.000 0.782 0.782
0.218 0.000 0.718
0.218 0.500 0.218
0.500 0.218 0.718
0.500 0.782 0.282
0.782 0.000 0.282
0.782 0.500 0.782



[9]
PBE-GGA Pu3Mg2Hg6, optimized geometry; formation energy = -0.9 kJ per mole of atoms; VASP energy = -4.372 eV/atom; total moment = 18.66 μB/cell
1.0
-2.145 2.145 15.441
2.145 -2.145 15.441
2.145 2.145 -15.441
Pu Mg Hg
3 2 6
direct
0.000 0.000 0.000
0.098 0.098 0.000
0.902 0.902 0.000
0.249 0.249 0.000
0.751 0.751 0.000
0.177 0.677 0.500
0.323 0.823 0.500
0.447 0.447 0.000
0.553 0.553 0.000
0.677 0.177 0.500
0.823 0.323 0.500



[10]
PBE-GGA PuMgHg3, optimized geometry; formation energy = -5.7 kJ per mole of atoms; energy relative to the lowest polymorph listed for this composition = 34 meV per atom; VASP energy = -3.425 eV/atom; total moment = 12.12 μB/cell
1.0
4.466 -6.505 0.000
4.466 6.505 0.000
-3.575 0.000 4.419
Pu Mg Hg
2 2 6
direct
0.224 0.776 0.750
0.776 0.224 0.250
0.064 0.936 0.250
0.936 0.064 0.750
0.000 0.500 0.000
0.265 0.378 0.412
0.378 0.265 0.912
0.500 0.000 0.500
0.622 0.735 0.088
0.735 0.622 0.588



[11]
PBE-GGA PuMg5Hg3, optimized geometry; formation energy = -16.5 kJ per mole of atoms; VASP energy = -2.750 eV/atom; total moment = 11.74 μB/cell
1.0
8.793 0.000 0.000
-4.396 7.615 0.000
0.000 0.000 6.021
Pu Mg Hg
2 10 6
direct
0.000 0.000 0.000
0.000 0.000 0.500
0.000 0.343 0.250
0.000 0.657 0.750
0.333 0.667 0.000
0.333 0.667 0.500
0.343 0.000 0.250
0.343 0.343 0.750
0.657 0.000 0.750
0.657 0.657 0.250
0.667 0.333 0.000
0.667 0.333 0.500
0.000 0.334 0.750
0.000 0.666 0.250
0.334 0.000 0.750
0.334 0.334 0.250
0.666 0.000 0.250
0.666 0.666 0.750



[12]
PBE-GGA PuMg2Hg6, optimized geometry; formation energy = 0.5 kJ per mole of atoms; energy relative to the lowest polymorph listed for this composition = 116 meV per atom; VASP energy = -2.143 eV/atom; total moment = 6.13 μB/cell
1.0
-2.429 2.429 10.558
2.429 -2.429 10.558
2.429 2.429 -10.558
Pu Mg Hg
1 2 6
direct
0.000 0.000 0.000
0.327 0.327 0.000
0.673 0.673 0.000
0.098 0.598 0.500
0.250 0.750 0.500
0.402 0.902 0.500
0.598 0.098 0.500
0.750 0.250 0.500
0.902 0.402 0.500



[13]
PBE-GGA PuMgHg2, optimized geometry; formation energy = -12.3 kJ per mole of atoms; VASP energy = -4.260 eV/atom; total moment = 5.73 μB/cell
1.0
5.358 0.000 0.000
0.000 5.358 0.000
0.000 0.000 3.431
Pu Mg Hg
1 1 2
direct
0.000 0.000 0.000
0.500 0.500 0.000
0.000 0.500 0.500
0.500 0.000 0.500



[14]
PBE-GGA Pu3MgHg4, optimized geometry; formation energy = -15.4 kJ per mole of atoms; VASP energy = -5.884 eV/atom; total moment = 5.94 μB/cell
1.0
3.306 0.000 0.000
0.000 3.306 0.000
0.000 0.000 17.707
Pu Mg Hg
3 1 4
direct
0.000 0.000 0.000
0.000 0.000 0.264
0.000 0.000 0.736
0.000 0.000 0.500
0.500 0.500 0.132
0.500 0.500 0.394
0.500 0.500 0.606
0.500 0.500 0.868



[15]
PBE-GGA PuMgHg, optimized geometry; formation energy = -6.8 kJ per mole of atoms; VASP energy = -5.480 eV/atom; total moment = 6.04 μB/cell
1.0
-1.606 1.606 6.954
1.606 -1.606 6.954
1.606 1.606 -6.954
Pu Mg Hg
1 1 1
direct
0.000 0.000 0.000
0.316 0.316 0.000
0.672 0.672 0.000



[16]
PBE-GGA PuMg2Hg6, optimized geometry; formation energy = -10.7 kJ per mole of atoms; energy relative to the lowest polymorph listed for this composition = 0 meV per atom; VASP energy = -2.259 eV/atom; total moment = 5.92 μB/cell
1.0
-1.638 4.331 7.491
1.638 -4.331 7.491
1.638 4.331 -7.491
Pu Mg Hg
1 2 6
direct
0.000 0.000 0.000
0.353 0.853 0.500
0.647 0.147 0.500
0.003 0.675 0.328
0.331 0.500 0.831
0.347 0.675 0.672
0.653 0.325 0.328
0.669 0.500 0.169
0.997 0.325 0.672



[17]
PBE-GGA PuMgHg2, optimized geometry; formation energy = -7.5 kJ per mole of atoms; VASP energy = -4.210 eV/atom; total moment = 6.03 μB/cell
1.0
2.964 -1.706 0.000
2.964 1.706 0.000
-1.973 0.000 9.744
Pu Mg Hg
1 1 2
direct
0.000 0.000 0.000
0.833 0.833 0.500
0.244 0.244 0.730
0.423 0.423 0.270



[18]
PBE-GGA PuMg5Hg4, optimized geometry; formation energy = -12.9 kJ per mole of atoms; VASP energy = -2.485 eV/atom; total moment = 6.09 μB/cell
1.0
3.447 0.000 0.000
0.000 3.447 0.000
0.000 0.000 18.839
Pu Mg Hg
1 5 4
direct
0.000 0.000 0.000
0.500 0.500 0.125
0.500 0.500 0.313
0.500 0.500 0.500
0.500 0.500 0.687
0.500 0.500 0.875
0.000 0.000 0.215
0.000 0.000 0.407
0.000 0.000 0.593
0.000 0.000 0.785



[19]
PBE-GGA PuMgHg, optimized geometry; formation energy = 0.0 kJ per mole of atoms; VASP energy = -5.409 eV/atom; total moment = 11.42 μB/cell
1.0
2.472 1.427 7.274
-2.472 1.427 7.274
0.000 -2.854 7.274
Pu Mg Hg
2 2 2
direct
0.144 0.144 0.144
0.856 0.856 0.856
0.293 0.293 0.293
0.707 0.707 0.707
0.422 0.422 0.422
0.578 0.578 0.578



[20]
PBE-GGA PuMgHg2, optimized geometry; formation energy = -18.7 kJ per mole of atoms; VASP energy = -4.326 eV/atom; total moment = 5.85 μB/cell
1.0
3.322 0.000 0.000
0.000 3.322 0.000
0.000 0.000 8.415
Pu Mg Hg
1 1 2
direct
0.000 0.000 0.000
0.000 0.000 0.500
0.500 0.500 0.274
0.500 0.500 0.726



[21]
PBE-GGA PuMgHg, optimized geometry; formation energy = -10.6 kJ per mole of atoms; VASP energy = -5.519 eV/atom; total moment = 5.88 μB/cell
1.0
5.129 0.000 0.000
-2.565 4.442 0.000
0.000 0.000 3.144
Pu Mg Hg
1 1 1
direct
0.000 0.000 0.000
0.333 0.667 0.500
0.667 0.333 0.500



[22]
PBE-GGA PuMg5Hg6, optimized geometry; formation energy = -19.2 kJ per mole of atoms; VASP energy = -2.209 eV/atom; total moment = 5.80 μB/cell
1.0
4.936 0.000 0.000
0.000 7.491 0.000
-2.434 0.000 7.312
Pu Mg Hg
1 5 6
direct
0.000 0.000 0.000
0.000 0.500 0.000
0.332 0.000 0.662
0.334 0.500 0.668
0.666 0.500 0.332
0.668 0.000 0.338
0.171 0.257 0.342
0.171 0.743 0.342
0.500 0.265 0.000
0.500 0.735 0.000
0.829 0.257 0.658
0.829 0.743 0.658



[23]
PBE-GGA PuMgHg, optimized geometry; formation energy = -16.8 kJ per mole of atoms; VASP energy = -5.583 eV/atom; total moment = 11.68 μB/cell
1.0
5.185 0.000 0.000
-2.592 4.490 0.000
0.000 0.000 5.999
Pu Mg Hg
2 2 2
direct
0.000 0.000 0.000
0.000 0.000 0.500
0.333 0.667 0.250
0.667 0.333 0.750
0.333 0.667 0.750
0.667 0.333 0.250



[24]
PBE-GGA Pu2MgHg2, optimized geometry; formation energy = -0.4 kJ per mole of atoms; VASP energy = -6.177 eV/atom; total moment = 23.96 μB/cell
1.0
3.643 0.000 0.000
1.770 6.023 0.000
0.038 0.663 11.282
Pu Mg Hg
4 2 4
direct
0.060 0.380 0.149
0.341 0.818 0.074
0.659 0.182 0.926
0.940 0.620 0.851
0.139 0.220 0.461
0.861 0.780 0.539
0.252 0.999 0.712
0.460 0.581 0.355
0.540 0.419 0.645
0.748 0.001 0.288



[25]
PBE-GGA PuMg3Hg4, optimized geometry; formation energy = -18.8 kJ per mole of atoms; VASP energy = -2.735 eV/atom; total moment = 5.97 μB/cell
1.0
2.476 1.430 8.648
-2.476 1.430 8.648
0.000 -2.860 8.648
Pu Mg Hg
1 3 4
direct
0.000 0.000 0.000
0.247 0.247 0.247
0.500 0.500 0.500
0.753 0.753 0.753
0.127 0.127 0.127
0.383 0.383 0.383
0.617 0.617 0.617
0.873 0.873 0.873